A geometry-optimized BC2 structure, computed with PBE.

a b c (Å): 8.685 2.521 7.844
angles (deg): 90.00 117.27 90.00
Space group Cm (No. 8)
Unique sites:
B  0.000  0.000  0.000 [2 per cell]
B  0.002  0.000  0.470 [2 per cell]
B  0.168  0.500  0.847 [2 per cell]
B  0.210  0.000  0.718 [2 per cell]
C  0.020  0.500  0.355 [2 per cell]
C  0.180  0.000  0.204 [2 per cell]
C  0.180  0.500  0.320 [2 per cell]
C  0.337  0.500  0.052 [2 per cell]
C  0.341  0.000  0.165 [2 per cell]
C  0.344  0.000  0.637 [2 per cell]
C  0.348  0.500  0.527 [2 per cell]
C  0.486  0.000  0.855 [2 per cell]

## Properties
Energy of formation from the pure elements   364 meV per atom
Fermi-level density of states   0.0455 states/eV/atom
Crystal system   monoclinic
Distance to the lowest polymorph of the same formula   0.37 eV/f.u.

***

A geometry-optimized CuPbSe2 structure, computed with PBE.

a b c (Å): 3.474 3.474 7.173
angles (deg): 90.00 90.00 90.00
Space group P4/mmm (No. 123)
Unique sites:
Cu  0.000  0.000  0.000 [1 per cell]
Pb  0.000  0.000  0.500 [1 per cell]
Se  0.500  0.500  0.212 [2 per cell]

## Properties
Fermi-level density of states   0.6013 states/eV/atom
E_tot   -0.13133 hartree per atom
Crystal system   tetragonal

***

The calculation returns the following spin magnetization values, one per record and in order: 0.00, 0.00 μB/f.u..